# 1
Pr8TlAu2 (GGA-PBE, optimized geometry); SG = No. 12; distance to the lowest polymorph of the same formula = 0 meV/atom; magnetization = 0.000 μB/f.u.; ΔE_f = -340 meV/atom
1.0
5.158 0.000 0.000
0.000 8.178 -0.075
-2.579 -3.576 8.259
Pr Tl Au
8 1 2
Direct
0.409 0.540 0.818
0.814 0.714 0.628
0.956 0.238 0.911
0.591 0.460 0.182
0.679 0.970 0.359
0.186 0.286 0.372
0.321 0.030 0.641
0.044 0.762 0.089
0.500 0.000 0.000
0.191 0.658 0.382
0.809 0.342 0.618

# 2
Sm3Y2Ho6 (GGA-PBE, optimized geometry); SG = No. 139; distance to the lowest polymorph of the same formula = 0 meV/atom; magnetization = 0.000 μB/f.u.; ΔE_f = 281 meV/atom
1.0
-4.490 0.226 1.476
1.057 -2.821 3.648
5.435 14.671 6.703
Y Ho Sm
2 6 3
Direct
0.546 0.546 0.093
0.454 0.454 0.907
0.622 0.122 0.244
0.305 0.305 0.610
0.878 0.378 0.756
0.122 0.622 0.244
0.378 0.878 0.756
0.695 0.695 0.390
0.798 0.798 0.596
0.000 0.000 0.000
0.202 0.202 0.404